Record 1
# Tb6Sc12Cd | Alexandria | GGA-PBE | relaxed
data_Tb6Sc12Cd
_chemical_formula_sum 'Tb6 Sc12 Cd1'
_symmetry_space_group_name_H-M 'P 1'
_symmetry_Int_Tables_number 1
_symmetry_space_group_name_Hall 'P 1'
_cell_length_a 8.0281
_cell_length_b 8.0281
_cell_length_c 8.0281
_cell_angle_alpha 93.39
_cell_angle_beta 93.39
_cell_angle_gamma 93.39
loop_
_atom_site_label
_atom_site_type_symbol
_atom_site_fract_x
_atom_site_fract_y
_atom_site_fract_z
Tb1 Tb 0.2141 0.3831 0.7646
Tb2 Tb 0.2354 0.7859 0.6170
Tb3 Tb 0.3831 0.7646 0.2141
Tb4 Tb 0.6170 0.2354 0.7859
Tb5 Tb 0.7646 0.2141 0.3830
Tb6 Tb 0.7859 0.6170 0.2354
Sc1 Sc 0.0309 0.7149 0.9651
Sc2 Sc 0.0349 0.9691 0.2851
Sc3 Sc 0.1340 0.4439 0.3588
Sc4 Sc 0.2851 0.0349 0.9691
Sc5 Sc 0.3588 0.1340 0.4439
Sc6 Sc 0.4439 0.3588 0.1340
Sc7 Sc 0.5561 0.6412 0.8660
Sc8 Sc 0.6412 0.8660 0.5561
Sc9 Sc 0.7149 0.9651 0.0309
Sc10 Sc 0.8660 0.5561 0.6412
Sc11 Sc 0.9651 0.0309 0.7149
Sc12 Sc 0.9691 0.2851 0.0349
Cd1 Cd 0.5000 0.5000 0.5000
# total magnetization = 0.00 μB per formula unit
# calculated total energy = -5.385 eV per atom



Record 2
# PrOs2PbO8 | Alexandria | GGA-PBE | relaxed
data_PrOs2PbO8
_chemical_formula_sum 'Pr1 Os2 Pb1 O8'
_symmetry_space_group_name_H-M 'P 1'
_symmetry_Int_Tables_number 1
_symmetry_space_group_name_Hall 'P 1'
_cell_length_a 6.0861
_cell_length_b 6.0861
_cell_length_c 7.2992
_cell_angle_alpha 90.00
_cell_angle_beta 90.00
_cell_angle_gamma 120.00
loop_
_atom_site_label
_atom_site_type_symbol
_atom_site_fract_x
_atom_site_fract_y
_atom_site_fract_z
Pr1 Pr 0.0000 0.0000 0.0000
Os1 Os 0.3333 0.6667 0.2957
Os2 Os 0.6667 0.3333 0.7043
Pb1 Pb 0.0000 0.0000 0.5000
O1 O 0.1664 0.3327 0.2203
O2 O 0.1664 0.8336 0.2203
O3 O 0.3327 0.1664 0.7797
O4 O 0.3333 0.6667 0.5403
O5 O 0.6667 0.3333 0.4597
O6 O 0.6673 0.8336 0.2203
O7 O 0.8336 0.1664 0.7797
O8 O 0.8336 0.6673 0.7797
# ΔE_f (raw) = -1.27 eV/atom
# total magnetization = 3.02 μB per formula unit



Record 3
# CrFe4Sn | Alexandria | GGA-PBE | relaxed
data_CrFe4Sn
_chemical_formula_sum 'Cr1 Fe4 Sn1'
_symmetry_space_group_name_H-M 'P 1'
_symmetry_Int_Tables_number 1
_symmetry_space_group_name_Hall 'P 1'
_cell_length_a 4.7921
_cell_length_b 4.7921
_cell_length_c 4.7921
_cell_angle_alpha 60.00
_cell_angle_beta 60.00
_cell_angle_gamma 60.00
loop_
_atom_site_label
_atom_site_type_symbol
_atom_site_fract_x
_atom_site_fract_y
_atom_site_fract_z
Cr1 Cr 0.0000 0.0000 0.0000
Fe1 Fe 0.3740 0.3740 0.3740
Fe2 Fe 0.3740 0.3740 0.8780
Fe3 Fe 0.3740 0.8780 0.3740
Fe4 Fe 0.8780 0.3740 0.3740
Sn1 Sn 0.7500 0.7500 0.7500
# total magnetization = 9.22 μB per formula unit
# calculated total energy = -7.729 eV per atom



Record 4
# Y5NiBi2 | Alexandria | GGA-PBE | relaxed
data_Y5NiBi2
_chemical_formula_sum 'Y20 Ni4 Bi8'
_symmetry_space_group_name_H-M 'P 1'
_symmetry_Int_Tables_number 1
_symmetry_space_group_name_Hall 'P 1'
_cell_length_a 12.3702
_cell_length_b 8.9605
_cell_length_c 8.0816
_cell_angle_alpha 90.00
_cell_angle_beta 90.00
_cell_angle_gamma 90.00
loop_
_atom_site_label
_atom_site_type_symbol
_atom_site_fract_x
_atom_site_fract_y
_atom_site_fract_z
Y1 Y 0.0006 0.2500 0.0463
Y2 Y 0.0649 0.5414 0.3219
Y3 Y 0.0649 0.9586 0.3219
Y4 Y 0.1932 0.2500 0.6209
Y5 Y 0.2043 0.7500 0.6572
Y6 Y 0.2957 0.2500 0.1572
Y7 Y 0.3068 0.7500 0.1209
Y8 Y 0.4351 0.0414 0.8219
Y9 Y 0.4351 0.4586 0.8219
Y10 Y 0.4994 0.7500 0.5463
Y11 Y 0.5006 0.2500 0.4537
Y12 Y 0.5649 0.5414 0.1781
Y13 Y 0.5649 0.9586 0.1781
Y14 Y 0.6932 0.2500 0.8791
Y15 Y 0.7043 0.7500 0.8428
Y16 Y 0.7957 0.2500 0.3428
Y17 Y 0.8068 0.7500 0.3791
Y18 Y 0.9351 0.0414 0.6781
Y19 Y 0.9351 0.4586 0.6781
Y20 Y 0.9994 0.7500 0.9537
Ni1 Ni 0.0110 0.2500 0.4247
Ni2 Ni 0.4890 0.7500 0.9247
Ni3 Ni 0.5110 0.2500 0.0753
Ni4 Ni 0.9890 0.7500 0.5753
Bi1 Bi 0.1732 0.0096 0.9287
Bi2 Bi 0.1732 0.4904 0.9287
Bi3 Bi 0.3268 0.5096 0.4287
Bi4 Bi 0.3268 0.9904 0.4287
Bi5 Bi 0.6732 0.0096 0.5713
Bi6 Bi 0.6732 0.4904 0.5713
Bi7 Bi 0.8268 0.5096 0.0713
Bi8 Bi 0.8268 0.9904 0.0713
# total magnetization = 0.03 μB per formula unit
# calculated total energy = -6.336 eV per atom



Which of these has the lowest total magnetization?
Tb6Sc12Cd



Which of these has the lowest total magnetization?
Tb6Sc12Cd